Below is TaCrN2O after structural relaxation, with properties calculated at the PBE with a Hubbard U level.

a b c (Å): 3.7874 3.7874 3.6376
angles (deg): 90.00 90.00 90.00
Space group P4/mmm (No. 123)
One atom of each set of equivalent atoms:
Ta: 0.0000 0.0000 0.0000 x1
Cr: 0.5000 0.5000 0.5000 x1
N: 0.0000 0.5000 0.5000 x2
O: 0.5000 0.5000 0.0000 x1

## Properties
electronic total energy	-40.25	eV per cell
magnetic moment	2.8	Bohr magnetons per cell